! NiMo2RhS PBEsol optimized geometry; values from VASP
! Symmetry: P4/mmm (123)
! Raw total energy in eV/atom: -6.972
&SYSTEM
  ibrav = 0, nat = 5, ntyp = 4
/
ATOMIC_SPECIES
Mo 95.94 Mo.upf
Rh 102.91 Rh.upf
Ni 58.69 Ni.upf
S 32.06 S.upf
CELL_PARAMETERS angstrom
-1.0895 1.9492 3.7467
-0.3708 -3.8986 1.9204
4.3285 0.1658 1.1724
ATOMIC_POSITIONS crystal
Mo 0.0000 0.5000 0.0000
Mo 0.5000 0.0000 0.0000
Rh 0.0000 0.0000 0.5000
Ni 0.0000 0.0000 0.0000
S 0.5000 0.5000 0.5000